# 1
A crystal of FeCu2Ni relaxed with PBEsol. Source: the Alexandria database, functional SCAN.

Properties
Raw total energy   -64.60 eV for the cell shown
Space-group type   C2/m, No. 12
V   44.0 Å³ per cell

Cell lengths 2.4859, 4.2825, 4.3782 Å; angles 99.46, 106.49, 90.00 degrees
Fractional positions:
1 Ni 0.0000 0.5000 0.0000
2 Fe 0.5000 0.0000 0.0000
3 Cu 0.2515 0.2510 0.5029
4 Cu 0.7485 0.7490 0.4971



# 2
A crystal of FeCuNi2 relaxed with PBEsol. Source: the Alexandria database, functional SCAN.

Properties
Raw total energy   -65.76 eV for the cell shown
Space-group type   Pmm2, No. 25
V   43.1 Å³ per cell

Cell lengths 2.4654, 3.5564, 4.9200 Å; angles 90.00, 90.00, 90.00 degrees
Fractional positions:
1 Ni 0.0000 0.0000 0.9965
2 Ni 0.5000 0.5000 0.2516
3 Fe 0.5000 0.5000 0.7570
4 Cu 0.0000 0.0000 0.4948



# 3
A crystal of Fe2CuNi relaxed with PBEsol. Source: the Alexandria database, functional SCAN.

Properties
Raw total energy   -67.82 eV for the cell shown
Energy above the lowest structure with this stoichiometry   0 meV per atom
Space-group type   Cmmm, No. 65
V   43.8 Å³ per cell

Cell lengths 2.4621, 4.3743, 4.3743 Å; angles 111.52, 90.00, 90.00 degrees
Fractional positions:
1 Ni 0.5000 0.0000 0.0000
2 Fe 0.0000 0.5000 0.0000
3 Fe 0.0000 0.0000 0.5000
4 Cu 0.5000 0.5000 0.5000



# 4
A crystal of FeCuNi relaxed with PBEsol. Source: the Alexandria database, functional SCAN.

Properties
Raw total energy   -49.43 eV for the cell shown
Energy above the lowest structure with this stoichiometry   67 meV per atom
Space-group type   P3m1, No. 156
V   32.7 Å³ per cell

Cell lengths 2.4784, 2.4784, 6.1527 Å; angles 90.00, 90.00, 120.00 degrees
Fractional positions:
1 Ni 0.6667 0.3333 0.3376
2 Fe 0.3333 0.6667 0.6599
3 Cu 0.0000 0.0000 0.0025



The records above yield ΔH_f (0 K) values of 10 -8 -19 7 kJ/mol of formula units, respectively.